(1)
Compound: HoCoNiSn
Source: Alexandria
Functional: PBE
Structure: optimized geometry

Its total energy is -5.719 eV per atom. The theoretical density comes out at 9.9 g/cm3. The formation energy is -352 meV per atom. The size of the total moment comes out at 0.30 μB/atom.

It has space group F-43m (No. 216), with a = 6.457 Å, b = 6.457 Å, c = 6.457 Å, α = 90.00°, β = 90.00° and γ = 90.00°. The asymmetric unit holds Ho at (0.000, 0.000, 0.000), Co at (0.250, 0.250, 0.750), Ni at (0.250, 0.250, 0.250) and Sn at (0.000, 0.000, 0.500).

(2)
Compound: Nb2RuN
Source: Alexandria
Functional: PBE
Structure: optimized geometry

Its total energy is -9.559 eV per atom. The theoretical density comes out at 8.2 g/cm3. Its uncorrected formation energy is -0.123 eV per atom. The size of the total moment comes out at 0.00 μB/atom.

It has space group I-42d (No. 122), with a = 6.151 Å, b = 6.151 Å, c = 6.457 Å, α = 90.00°, β = 90.00° and γ = 90.00°. The asymmetric unit holds Nb at (0.181, 0.250, 0.125), Ru at (0.000, 0.000, 0.500) and N at (0.000, 0.000, 0.000).

Question: Which formula does entry 2 have?
Answer: Nb2RuN